# 1
Entry from Alexandria via LeMat-Bulk: an optimized crystal structure of Sr2BeSe (PBEsol).

```
data_Sr2BeSe
_chemical_formula_sum 'Sr2 Be1 Se1'
_cell_length_a 4.412
_cell_length_b 4.412
_cell_length_c 6.246
_cell_angle_alpha 90.00
_cell_angle_beta 90.00
_cell_angle_gamma 90.00
_symmetry_space_group_name_H-M 'P 4/m m m'
_symmetry_Int_Tables_number 123
_symmetry_space_group_name_Hall '-P 4 2'
loop_
_atom_site_label
_atom_site_type_symbol
_atom_site_fract_x
_atom_site_fract_y
_atom_site_fract_z
_atom_site_occupancy
Sr1 Sr 0.000 0.000 0.000 1
Sr2 Sr 0.500 0.500 0.500 1
Be1 Be 0.000 0.000 0.500 1
Se1 Se 0.500 0.500 0.000 1
```

Values from the calculation:
- DOS(E_F): 2.91 states/eV/f.u.

=====

# 2
Entry from Alexandria via LeMat-Bulk: an optimized crystal structure of SrBeSe2 (PBEsol).

```
data_SrBeSe2
_chemical_formula_sum 'Sr1 Be1 Se2'
_cell_length_a 3.926
_cell_length_b 3.926
_cell_length_c 6.409
_cell_angle_alpha 90.00
_cell_angle_beta 90.00
_cell_angle_gamma 90.00
_symmetry_space_group_name_H-M 'P 4 m m'
_symmetry_Int_Tables_number 99
loop_
_symmetry_equiv_pos_as_xyz
'x,y,z'
'-y,x,z'
'-x,-y,z'
'y,-x,z'
'-x,y,z'
'y,x,z'
'x,-y,z'
'-y,-x,z'
loop_
_atom_site_label
_atom_site_type_symbol
_atom_site_fract_x
_atom_site_fract_y
_atom_site_fract_z
_atom_site_occupancy
Sr1 Sr 0.000 0.000 0.000 1
Be1 Be 0.500 0.500 0.537 1
Se1 Se 0.000 0.000 0.468 1
Se2 Se 0.500 0.500 0.868 1
```

=====

# 3
Entry from Alexandria via LeMat-Bulk: an optimized crystal structure of Sr2BeSe (PBEsol).

```
data_Sr2BeSe
_chemical_formula_sum 'Sr8 Be4 Se4'
_cell_length_a 8.048
_cell_length_b 8.048
_cell_length_c 7.930
_cell_angle_alpha 90.00
_cell_angle_beta 90.00
_cell_angle_gamma 90.00
_symmetry_space_group_name_H-M 'I -4 2 d'
_symmetry_Int_Tables_number 122
_symmetry_space_group_name_Hall 'I -4 2bw'
loop_
_atom_site_label
_atom_site_type_symbol
_atom_site_fract_x
_atom_site_fract_y
_atom_site_fract_z
_atom_site_occupancy
Sr1 Sr 0.241 0.250 0.125 1
Be1 Be 0.000 0.000 0.500 1
Se1 Se 0.000 0.000 0.000 1
```

Values from the calculation:
- DOS(E_F): 2.22 states/eV/f.u.

=====

# 4
Entry from Alexandria via LeMat-Bulk: an optimized crystal structure of SrBeSe2 (PBEsol).

```
data_SrBeSe2
_chemical_formula_sum 'Sr1 Be1 Se2'
_cell_length_a 3.465
_cell_length_b 3.465
_cell_length_c 6.968
_cell_angle_alpha 90.00
_cell_angle_beta 90.00
_cell_angle_gamma 90.00
_symmetry_space_group_name_H-M 'P 4/m m m'
_symmetry_Int_Tables_number 123
_symmetry_space_group_name_Hall '-P 4 2'
loop_
_atom_site_label
_atom_site_type_symbol
_atom_site_fract_x
_atom_site_fract_y
_atom_site_fract_z
_atom_site_occupancy
Sr1 Sr 0.000 0.000 0.000 1
Be1 Be 0.000 0.000 0.500 1
Se1 Se 0.500 0.500 0.284 1
```

Values from the calculation:
- DOS(E_F): 1.57 states/eV/f.u.

=====

# 5
Entry from Alexandria via LeMat-Bulk: an optimized crystal structure of SrBeSe2 (PBEsol).

```
data_SrBeSe2
_chemical_formula_sum 'Sr1 Be1 Se2'
_cell_length_a 3.977
_cell_length_b 3.472
_cell_length_c 6.759
_cell_angle_alpha 90.00
_cell_angle_beta 96.80
_cell_angle_gamma 90.00
_symmetry_space_group_name_H-M 'P 1 2/m 1'
_symmetry_Int_Tables_number 10
loop_
_symmetry_equiv_pos_as_xyz
'x,y,z'
'-x,-y,-z'
'-x,y,-z'
'x,-y,z'
loop_
_atom_site_label
_atom_site_type_symbol
_atom_site_fract_x
_atom_site_fract_y
_atom_site_fract_z
_atom_site_occupancy
Sr1 Sr 0.000 0.000 0.000 1
Be1 Be 0.500 0.000 0.500 1
Se1 Se 0.442 0.500 0.728 1
```

Values from the calculation:
- DOS(E_F): 0.10 states/eV/f.u.

=====

# 6
Entry from Alexandria via LeMat-Bulk: an optimized crystal structure of SrBeSe2 (PBEsol).

```
data_SrBeSe2
_chemical_formula_sum 'Sr2 Be2 Se4'
_cell_length_a 3.668
_cell_length_b 6.203
_cell_length_c 7.890
_cell_angle_alpha 90.00
_cell_angle_beta 90.00
_cell_angle_gamma 90.00
_symmetry_space_group_name_H-M 'I m m m'
_symmetry_Int_Tables_number 71
_symmetry_space_group_name_Hall '-I 2 2'
loop_
_atom_site_label
_atom_site_type_symbol
_atom_site_fract_x
_atom_site_fract_y
_atom_site_fract_z
_atom_site_occupancy
Sr1 Sr 0.000 0.000 0.000 1
Be1 Be 0.000 0.000 0.500 1
Se1 Se 0.000 0.500 0.191 1
```

Values from the calculation:
- DOS(E_F): 0.33 states/eV/f.u.

=====

# 7
Entry from Alexandria via LeMat-Bulk: an optimized crystal structure of SrBeSe2 (PBEsol).

```
data_SrBeSe2
_chemical_formula_sum 'Sr2 Be2 Se4'
_cell_length_a 3.516
_cell_length_b 3.849
_cell_length_c 13.202
_cell_angle_alpha 90.00
_cell_angle_beta 90.00
_cell_angle_gamma 90.00
_symmetry_space_group_name_H-M 'I m m 2'
_symmetry_Int_Tables_number 44
loop_
_symmetry_equiv_pos_as_xyz
'x,y,z'
'-x,-y,z'
'-x,y,z'
'x,-y,z'
'x+1/2,y+1/2,z+1/2'
'-x+1/2,-y+1/2,z+1/2'
'-x+1/2,y+1/2,z+1/2'
'x+1/2,-y+1/2,z+1/2'
loop_
_atom_site_label
_atom_site_type_symbol
_atom_site_fract_x
_atom_site_fract_y
_atom_site_fract_z
_atom_site_occupancy
Sr1 Sr 0.000 0.000 0.000 1
Be1 Be 0.000 0.500 0.761 1
Se1 Se 0.000 0.000 0.379 1
Se2 Se 0.000 0.500 0.174 1
```

Values from the calculation:
- DOS(E_F): 0.81 states/eV/f.u.

=====

# 8
Entry from Alexandria via LeMat-Bulk: an optimized crystal structure of Ta2BeSe (PBEsol).

```
data_Ta2BeSe
_chemical_formula_sum 'Ta4 Be2 Se2'
_cell_length_a 4.283
_cell_length_b 4.283
_cell_length_c 6.462
_cell_angle_alpha 90.00
_cell_angle_beta 90.00
_cell_angle_gamma 90.00
_symmetry_space_group_name_H-M 'I 4/m m m'
_symmetry_Int_Tables_number 139
_symmetry_space_group_name_Hall '-I 4 2'
loop_
_atom_site_label
_atom_site_type_symbol
_atom_site_fract_x
_atom_site_fract_y
_atom_site_fract_z
_atom_site_occupancy
Ta1 Ta 0.000 0.500 0.250 1
Be1 Be 0.000 0.000 0.000 1
Se1 Se 0.000 0.000 0.500 1
```

Values from the calculation:
- DOS(E_F): 4.08 states/eV/f.u.

=====

# 9
Entry from Alexandria via LeMat-Bulk: an optimized crystal structure of TaBeSe (PBEsol).

```
data_TaBeSe
_chemical_formula_sum 'Ta2 Be2 Se2'
_cell_length_a 3.178
_cell_length_b 3.178
_cell_length_c 8.291
_cell_angle_alpha 90.00
_cell_angle_beta 90.00
_cell_angle_gamma 90.00
_symmetry_space_group_name_H-M 'I 4 m m'
_symmetry_Int_Tables_number 107
_symmetry_space_group_name_Hall 'I 4 -2'
loop_
_atom_site_label
_atom_site_type_symbol
_atom_site_fract_x
_atom_site_fract_y
_atom_site_fract_z
_atom_site_occupancy
Ta1 Ta 0.000 0.000 0.000 1
Be1 Be 0.000 0.000 0.331 1
Se1 Se 0.000 0.000 0.671 1
```

Values from the calculation:
- DOS(E_F): 0.75 states/eV/f.u.

=====

# 10
Entry from Alexandria via LeMat-Bulk: an optimized crystal structure of Ta2BeSe (PBEsol).

```
data_Ta2BeSe
_chemical_formula_sum 'Ta8 Be4 Se4'
_cell_length_a 5.164
_cell_length_b 5.164
_cell_length_c 11.876
_cell_angle_alpha 90.00
_cell_angle_beta 90.00
_cell_angle_gamma 90.00
_symmetry_space_group_name_H-M 'I -4 2 d'
_symmetry_Int_Tables_number 122
_symmetry_space_group_name_Hall 'I -4 2bw'
loop_
_atom_site_label
_atom_site_type_symbol
_atom_site_fract_x
_atom_site_fract_y
_atom_site_fract_z
_atom_site_occupancy
Ta1 Ta 0.188 0.250 0.125 1
Be1 Be 0.000 0.000 0.000 1
Se1 Se 0.000 0.000 0.500 1
```

Values from the calculation:
- DOS(E_F): 2.62 states/eV/f.u.

=====

# 11
Entry from Alexandria via LeMat-Bulk: an optimized crystal structure of Ta2BeSe (PBEsol).

```
data_Ta2BeSe
_chemical_formula_sum 'Ta8 Be4 Se4'
_cell_length_a 6.308
_cell_length_b 6.308
_cell_length_c 6.308
_cell_angle_alpha 90.00
_cell_angle_beta 90.00
_cell_angle_gamma 90.00
_symmetry_space_group_name_H-M 'F -4 3 m'
_symmetry_Int_Tables_number 216
_symmetry_space_group_name_Hall 'F -4 2 3'
loop_
_atom_site_label
_atom_site_type_symbol
_atom_site_fract_x
_atom_site_fract_y
_atom_site_fract_z
_atom_site_occupancy
Ta1 Ta 0.000 0.000 0.000 1
Ta2 Ta 0.250 0.250 0.250 1
Be1 Be 0.250 0.250 0.750 1
Se1 Se 0.000 0.000 0.500 1
```

Values from the calculation:
- DOS(E_F): 5.02 states/eV/f.u.

=====

# 12
Entry from Alexandria via LeMat-Bulk: an optimized crystal structure of BeTc4Se (PBEsol).

```
data_BeTc4Se
_chemical_formula_sum 'Be4 Tc16 Se4'
_cell_length_a 7.129
_cell_length_b 7.129
_cell_length_c 7.129
_cell_angle_alpha 90.00
_cell_angle_beta 90.00
_cell_angle_gamma 90.00
_symmetry_space_group_name_H-M 'F -4 3 m'
_symmetry_Int_Tables_number 216
_symmetry_space_group_name_Hall 'F -4 2 3'
loop_
_atom_site_label
_atom_site_type_symbol
_atom_site_fract_x
_atom_site_fract_y
_atom_site_fract_z
_atom_site_occupancy
Be1 Be 0.000 0.000 0.000 1
Tc1 Tc 0.125 0.125 0.625 1
Se1 Se 0.250 0.250 0.250 1
```

Values from the calculation:
- DOS(E_F): 3.77 states/eV/f.u.

=====

# 13
Entry from Alexandria via LeMat-Bulk: an optimized crystal structure of BeTc3Se (PBEsol).

```
data_BeTc3Se
_chemical_formula_sum 'Be1 Tc3 Se1'
_cell_length_a 4.138
_cell_length_b 4.138
_cell_length_c 4.138
_cell_angle_alpha 90.00
_cell_angle_beta 90.00
_cell_angle_gamma 90.00
_symmetry_space_group_name_H-M 'P m -3 m'
_symmetry_Int_Tables_number 221
_symmetry_space_group_name_Hall '-P 4 2 3'
loop_
_atom_site_label
_atom_site_type_symbol
_atom_site_fract_x
_atom_site_fract_y
_atom_site_fract_z
_atom_site_occupancy
Be1 Be 0.000 0.000 0.000 1
Tc1 Tc 0.000 0.000 0.500 1
Se1 Se 0.500 0.500 0.500 1
```

Values from the calculation:
- DOS(E_F): 7.35 states/eV/f.u.

=====

# 14
Entry from Alexandria via LeMat-Bulk: an optimized crystal structure of Be2TcSe (PBEsol).

```
data_Be2TcSe
_chemical_formula_sum 'Be2 Tc1 Se1'
_cell_length_a 3.115
_cell_length_b 3.115
_cell_length_c 4.821
_cell_angle_alpha 90.00
_cell_angle_beta 90.00
_cell_angle_gamma 90.00
_symmetry_space_group_name_H-M 'P 4/m m m'
_symmetry_Int_Tables_number 123
_symmetry_space_group_name_Hall '-P 4 2'
loop_
_atom_site_label
_atom_site_type_symbol
_atom_site_fract_x
_atom_site_fract_y
_atom_site_fract_z
_atom_site_occupancy
Be1 Be 0.000 0.000 0.224 1
Tc1 Tc 0.500 0.500 0.000 1
Se1 Se 0.500 0.500 0.500 1
```

Values from the calculation:
- DOS(E_F): 1.47 states/eV/f.u.

=====

| no. | E_form (uncorrected) (kJ/mol of formula units) |
| --- | --- |
| 1 | -191 |
| 2 | -336 |
| 3 | -127 |
| 4 | -171 |
| 5 | -374 |
| 6 | -341 |
| 7 | -296 |
| 8 | 72 |
| 9 | -44 |
| 10 | 350 |
| 11 | 217 |
| 12 | 406 |
| 13 | 461 |
| 14 | -6 |